Computed, not measured: crystalline NaH3Pd at its relaxed geometry at the PBE level of DFT.

Results
Offset from the most stable computed form ... 140 meV/atom
DFT total energy ... -3.438 eV/atom
Fermi-level density of states ... 0.035 states/eV/atom
Theoretical density ... 4.60 g/cm3

POSCAR file:
```
NaH3Pd
1.0
3.726 -5.071 0.000
3.726 5.071 0.000
0.000 0.000 5.063
Na H Pd
4 12 4
Direct
0.111 0.389 0.250
0.389 0.111 0.750
0.611 0.889 0.250
0.889 0.611 0.750
0.051 0.949 0.866
0.131 0.369 0.750
0.225 0.775 0.481
0.275 0.725 0.981
0.369 0.131 0.250
0.449 0.551 0.366
0.551 0.449 0.634
0.631 0.869 0.750
0.725 0.275 0.019
0.775 0.225 0.519
0.869 0.631 0.250
0.949 0.051 0.134
0.122 0.878 0.187
0.378 0.622 0.687
0.622 0.378 0.313
0.878 0.122 0.813
```